This record from Alexandria via LeMat-Bulk describes a relaxed BeHgRh2 crystal. The functional is GGA-PBE.

Calculated values
ΔH_f (0 K) = -63.8 meV per atom
mass density = 11.9 g cm⁻³
DFT total energy = -4.7465 eV per atom

a = 2.9779 Å, b = 2.9779 Å, c = 22.6136 Å
α = 90.00°, β = 90.00°, γ = 120.00°
With the nearest neighbours (Å) after each atom.
Space group R-3m (No. 166, hexagonal axes)
One atom of each set of equivalent atoms:
Be (0.0000, 0.0000, 0.0000)  6 Rh 2.26
Hg (0.0000, 0.0000, 0.5000)  6 Rh 2.88, 6 Hg 2.98
Rh (0.0000, 0.0000, 0.2687)  3 Be 2.26